No. 1
# Zn2SiNi

A geometry-optimized Zn2SiNi structure (GGA-PBE, Alexandria).

Output
E_form (uncorrected), eV per atom: 0.08
Space-group type: F-43m (216)
VASP energy, eV per cell: -13.43
DOS(E_F), states/eV/f.u.: 3.1

abc: 4.2226 4.2226 4.2226
angles: 60.00 60.00 60.00
Last column: nearest neighbours and their distance in Å.
Fractional positions:
Zn (0.0000, 0.0000, 0.0000)  4 Zn 2.59, 4 Si 2.59
Si (0.7500, 0.7500, 0.7500)  4 Zn 2.59, 4 Ni 2.59
Ni (0.5000, 0.5000, 0.5000)  4 Si 2.59, 4 Zn 2.59
Zn (0.2500, 0.2500, 0.2500)  4 Ni 2.59, 4 Zn 2.59

No. 2
# PmScCl5

A geometry-optimized PmScCl5 structure (GGA-PBE, Alexandria).

Output
E_form (uncorrected), eV per atom: -2.01
Space-group type: C2/c (15)
VASP energy, eV per cell: -68.78
DOS(E_F), states/eV/f.u.: 5.3

abc: 7.0558 7.0558 9.5561
angles: 70.47 70.47 71.96
Last column: nearest neighbours and their distance in Å.
Fractional positions:
Cl (0.7076, 0.3310, 0.5340)  1 Sc 2.63, 1 Pm 2.85
Pm (0.4420, 0.5580, 0.7500)  5 Cl 2.68-2.85
Cl (0.3310, 0.7076, 0.0340)  1 Sc 2.63, 1 Pm 2.85
Cl (0.7932, 0.7217, 0.1299)  1 Sc 2.54, 1 Pm 2.68
Sc (0.0000, 0.0000, 0.5000)  6 Cl 2.54-2.63
Cl (0.2068, 0.2783, 0.8701)  1 Sc 2.54, 1 Pm 2.68
Pm (0.5580, 0.4420, 0.2500)  5 Cl 2.68-2.85
Cl (0.7217, 0.7932, 0.6299)  1 Sc 2.54, 1 Pm 2.68
Cl (0.1028, 0.8972, 0.7500)  2 Sc 2.54, 1 Pm 2.81
Sc (0.0000, 0.0000, 0.0000)  6 Cl 2.54-2.63
Cl (0.6690, 0.2924, 0.9660)  1 Sc 2.63, 1 Pm 2.85
Cl (0.2924, 0.6690, 0.4660)  1 Sc 2.63, 1 Pm 2.85
Cl (0.2783, 0.2068, 0.3701)  1 Sc 2.54, 1 Pm 2.68
Cl (0.8972, 0.1028, 0.2500)  2 Sc 2.54, 1 Pm 2.81

No. 3
# Cs3In2Pb5

A geometry-optimized Cs3In2Pb5 structure (GGA-PBE, Alexandria).

Output
Space-group type: Ibam (72)
VASP energy, eV per cell: -54.30
DOS(E_F), states/eV/f.u.: 4.8
Energy of formation, meV/atom: -57

abc: 7.8568 11.2806 11.2806
angles: 69.08 69.62 69.62
Last column: nearest neighbours and their distance in Å.
Fractional positions:
Pb (0.6175, 0.2454, 0.5196)  1 In 3.11, 4 Pb 3.29-3.30
Pb (0.3825, 0.7546, 0.4804)  1 In 3.11, 4 Pb 3.29-3.30
Cs (0.6275, 0.6160, 0.1289)  3 In 3.85-4.30, 6 Pb 4.11-4.26
Cs (0.7500, 0.0000, 0.0000)  4 In 3.73, 2 Cs 3.93
Pb (0.9853, 0.2647, 0.2647)  2 In 3.08, 2 Pb 3.30
Pb (0.5147, 0.7353, 0.7353)  2 In 3.08, 2 Pb 3.30
In (0.1619, 0.7111, 0.9652)  3 Pb 3.08-3.11
Pb (0.0147, 0.7353, 0.7353)  2 In 3.08, 2 Pb 3.30
Pb (0.4853, 0.2647, 0.2647)  2 In 3.08, 2 Pb 3.30
In (0.8381, 0.2889, 0.0348)  3 Pb 3.08-3.11
Pb (0.8825, 0.4804, 0.7546)  1 In 3.11, 4 Pb 3.29-3.30
Cs (0.8725, 0.8711, 0.3840)  3 In 3.85-4.30, 6 Pb 4.11-4.26
In (0.3381, 0.0348, 0.2889)  3 Pb 3.08-3.11
Cs (0.2500, 0.0000, 0.0000)  4 In 3.73, 2 Cs 3.93
Pb (0.7500, 0.5000, 0.5000)  4 Pb 3.29
Cs (0.3725, 0.3840, 0.8711)  3 In 3.85-4.30, 6 Pb 4.11-4.26
Cs (0.1275, 0.1289, 0.6160)  3 In 3.85-4.30, 6 Pb 4.11-4.26
Pb (0.1175, 0.5196, 0.2454)  1 In 3.11, 4 Pb 3.29-3.30
In (0.6619, 0.9652, 0.7111)  3 Pb 3.08-3.11
Pb (0.2500, 0.5000, 0.5000)  4 Pb 3.29

The lowest VASP energy belongs to which entry?
PmScCl5